(1)
Crystalline MgZrPt2 at its relaxed geometry. Source: Alexandria, functional PBE.

Geometry as extended XYZ:
```
4
Lattice="0.000 3.269 3.269 3.269 0.000 3.269 3.269 3.269 0.000" Properties=species:S:1:pos:R:3 pbc="T T T"
Mg 0.000 0.000 0.000
Zr 1.635 1.635 1.635
Pt 3.269 3.269 3.269
Pt 4.904 4.904 4.904
```

Calculated values
For the total magnetization, the calculation gives 0.00 μB per formula unit. As for the formation energy from the elements: -0.5872 eV/atom. Its space-group type is F-43m.

***

(2)
Crystalline Ho6Ge2PSe3 at its relaxed geometry. Source: Alexandria, functional PBE.

Geometry as extended XYZ:
```
12
Lattice="8.915 -2.040 0.000 8.915 2.040 0.000 -1.919 0.000 7.965" Properties=species:S:1:pos:R:3 pbc="T T T"
Ho -0.391 0.000 1.899
Ho 5.087 0.000 3.382
Ho 4.280 0.000 7.248
Ho 11.630 0.000 0.717
Ho 10.824 0.000 4.583
Ho 16.302 0.000 6.066
Ge 2.328 0.000 2.643
Ge 13.583 0.000 5.322
P 8.915 0.000 0.000
Se 1.355 0.000 6.643
Se 7.955 0.000 3.983
Se 14.556 0.000 1.322
```

Calculated values
For the total magnetization, the calculation gives 0.00 μB per formula unit. Its space-group type is C2/m. Its uncorrected formation energy is -1.5182 eV/atom.